i.
A geometry-optimized SrTe2Ru structure, computed with PBE. Values from VASP.

Calculated values
space group = I-4m2
volume = 25.5 Å³ per atom
density of states at the Fermi level = 6.33 states/eV/f.u.

Geometry as Quantum ESPRESSO input:
```
&SYSTEM
  ibrav = 0, nat = 4, ntyp = 3
/
ATOMIC_SPECIES
Sr 87.62 Sr.upf
Te 127.60 Te.upf
Ru 101.07 Ru.upf
CELL_PARAMETERS angstrom
-2.205 2.205 5.249
2.205 -2.205 5.249
2.205 2.205 -5.249
ATOMIC_POSITIONS angstrom
Sr 0.000 0.000 0.000
Te 2.205 0.000 2.624
Te 0.000 0.000 5.249
Ru 0.000 2.205 2.624
```

ii.
A geometry-optimized SrTe2Ru structure, computed with PBE. Values from VASP.

Calculated values
space group = R-3m
volume = 26.5 Å³ per atom
density of states at the Fermi level = 0.08 states/eV/f.u.

Geometry as Quantum ESPRESSO input:
```
&SYSTEM
  ibrav = 0, nat = 4, ntyp = 3
/
ATOMIC_SPECIES
Sr 87.62 Sr.upf
Te 127.60 Te.upf
Ru 101.07 Ru.upf
CELL_PARAMETERS angstrom
2.144 1.238 6.650
-2.144 1.238 6.650
0.000 -2.476 6.650
ATOMIC_POSITIONS angstrom
Sr 0.000 0.000 0.000
Te 0.000 0.000 4.522
Te 0.000 0.000 15.427
Ru 0.000 0.000 9.974
```

iii.
A geometry-optimized SrTe2Ru structure, computed with PBE. Values from VASP.

Calculated values
space group = Imm2
volume = 26.6 Å³ per atom
density of states at the Fermi level = 1.88 states/eV/f.u.

Geometry as Quantum ESPRESSO input:
```
&SYSTEM
  ibrav = 0, nat = 4, ntyp = 3
/
ATOMIC_SPECIES
Sr 87.62 Sr.upf
Te 127.60 Te.upf
Ru 101.07 Ru.upf
CELL_PARAMETERS angstrom
-1.845 2.034 7.084
1.845 -2.034 7.084
1.845 2.034 -7.084
ATOMIC_POSITIONS angstrom
Sr 0.000 0.000 0.000
Te 1.845 0.000 4.551
Te 0.000 0.000 8.810
Ru 0.000 2.034 3.643
```

Most stable to least stable, the ends of the list are ii and i.

i.
A geometry-optimized SrTe2Ru structure, computed with PBE. Values from VASP.

Calculated values
space group = Pmmm
volume = 24.6 Å³ per atom
density of states at the Fermi level = 4.47 states/eV/f.u.

Geometry as Quantum ESPRESSO input:
```
&SYSTEM
  ibrav = 0, nat = 4, ntyp = 3
/
ATOMIC_SPECIES
Sr 87.62 Sr.upf
Te 127.60 Te.upf
Ru 101.07 Ru.upf
CELL_PARAMETERS angstrom
3.610 0.000 0.000
0.000 5.211 0.000
0.000 0.000 5.224
ATOMIC_POSITIONS angstrom
Sr 0.000 0.000 0.000
Te 1.805 0.000 2.612
Te 1.805 2.606 0.000
Ru 0.000 2.606 2.612
```

ii.
A geometry-optimized SrTe2Ru structure, computed with PBE. Values from VASP.

Calculated values
space group = P4mm
volume = 29.5 Å³ per atom
density of states at the Fermi level = 5.52 states/eV/f.u.

Geometry as Quantum ESPRESSO input:
```
&SYSTEM
  ibrav = 0, nat = 4, ntyp = 3
/
ATOMIC_SPECIES
Sr 87.62 Sr.upf
Te 127.60 Te.upf
Ru 101.07 Ru.upf
CELL_PARAMETERS angstrom
3.940 0.000 0.000
0.000 3.940 0.000
0.000 0.000 7.592
ATOMIC_POSITIONS angstrom
Sr 0.000 0.000 0.000
Te 0.000 0.000 4.359
Te 1.970 1.970 1.512
Ru 1.970 1.970 4.129
```

Most stable to least stable, the ends of the list are ii and i.

i.
A geometry-optimized Sr2TiRu2 structure, computed with PBE. Values from VASP.

Calculated values
space group = I4/mmm
volume = 24.7 Å³ per atom
density of states at the Fermi level = 4.92 states/eV/f.u.

Geometry as Quantum ESPRESSO input:
```
&SYSTEM
  ibrav = 0, nat = 5, ntyp = 3
/
ATOMIC_SPECIES
Sr 87.62 Sr.upf
Ti 47.87 Ti.upf
Ru 101.07 Ru.upf
CELL_PARAMETERS angstrom
-2.140 2.140 6.750
2.140 -2.140 6.750
2.140 2.140 -6.750
ATOMIC_POSITIONS angstrom
Sr 2.140 0.000 3.375
Sr 0.000 2.140 3.375
Ti 0.000 0.000 0.000
Ru 0.000 0.000 5.611
Ru 0.000 0.000 7.890
```

ii.
A geometry-optimized Sr2TiRu2 structure, computed with PBE. Values from VASP.

Calculated values
space group = P4/mbm
volume = 23.0 Å³ per atom
density of states at the Fermi level = 3.63 states/eV/f.u.

Geometry as Quantum ESPRESSO input:
```
&SYSTEM
  ibrav = 0, nat = 10, ntyp = 3
/
ATOMIC_SPECIES
Sr 87.62 Sr.upf
Ti 47.87 Ti.upf
Ru 101.07 Ru.upf
CELL_PARAMETERS angstrom
6.668 0.000 0.000
0.000 6.668 0.000
0.000 0.000 5.177
ATOMIC_POSITIONS angstrom
Sr 1.172 2.162 0.000
Sr 2.162 5.496 0.000
Sr 4.506 1.172 0.000
Sr 5.496 4.506 0.000
Ti 0.000 0.000 2.588
Ti 3.334 3.334 2.588
Ru 0.892 4.226 2.588
Ru 2.442 0.892 2.588
Ru 4.226 5.776 2.588
Ru 5.776 2.442 2.588
```

Most stable to least stable, the ends of the list are ii and i.

i.
A geometry-optimized SrTlRu2 structure, computed with PBE. Values from VASP.

Calculated values
space group = P2/m
volume = 22.2 Å³ per atom
density of states at the Fermi level = 6.40 states/eV/f.u.

Geometry as Quantum ESPRESSO input:
```
&SYSTEM
  ibrav = 0, nat = 4, ntyp = 3
/
ATOMIC_SPECIES
Sr 87.62 Sr.upf
Tl 204.38 Tl.upf
Ru 101.07 Ru.upf
CELL_PARAMETERS angstrom
3.090 0.000 0.000
0.000 4.798 0.000
-0.817 0.000 5.980
ATOMIC_POSITIONS angstrom
Sr 0.000 0.000 0.000
Tl 1.137 0.000 2.990
Ru 0.321 2.399 4.049
Ru 1.952 2.399 1.931
```

ii.
A geometry-optimized SrTlRu2 structure, computed with PBE. Values from VASP.

Calculated values
space group = Fm-3m
volume = 19.9 Å³ per atom
density of states at the Fermi level = 5.12 states/eV/f.u.

Geometry as Quantum ESPRESSO input:
```
&SYSTEM
  ibrav = 0, nat = 4, ntyp = 3
/
ATOMIC_SPECIES
Sr 87.62 Sr.upf
Tl 204.38 Tl.upf
Ru 101.07 Ru.upf
CELL_PARAMETERS angstrom
0.000 3.414 3.414
3.414 0.000 3.414
3.414 3.414 0.000
ATOMIC_POSITIONS angstrom
Sr 0.000 0.000 0.000
Tl 3.414 3.414 3.414
Ru 1.707 1.707 1.707
Ru 5.121 5.121 5.121
```

Most stable to least stable, the ends of the list are i and ii.

i.
A geometry-optimized SrZn3Ru structure, computed with PBE. Values from VASP.

Calculated values
space group = Pm-3m
volume = 22.8 Å³ per atom
density of states at the Fermi level = 1.80 states/eV/f.u.

Geometry as Quantum ESPRESSO input:
```
&SYSTEM
  ibrav = 0, nat = 5, ntyp = 3
/
ATOMIC_SPECIES
Sr 87.62 Sr.upf
Zn 65.41 Zn.upf
Ru 101.07 Ru.upf
CELL_PARAMETERS angstrom
4.852 0.000 0.000
0.000 4.852 0.000
0.000 0.000 4.852
ATOMIC_POSITIONS angstrom
Sr 0.000 0.000 0.000
Zn 0.000 2.426 2.426
Zn 2.426 0.000 2.426
Zn 2.426 2.426 0.000
Ru 2.426 2.426 2.426
```

ii.
A geometry-optimized SrZn3Ru structure, computed with PBE. Values from VASP.

Calculated values
space group = Pm-3m
volume = 35.2 Å³ per atom
density of states at the Fermi level = 3.20 states/eV/f.u.

Geometry as Quantum ESPRESSO input:
```
&SYSTEM
  ibrav = 0, nat = 5, ntyp = 3
/
ATOMIC_SPECIES
Sr 87.62 Sr.upf
Zn 65.41 Zn.upf
Ru 101.07 Ru.upf
CELL_PARAMETERS angstrom
5.605 0.000 0.000
0.000 5.605 0.000
0.000 0.000 5.605
ATOMIC_POSITIONS angstrom
Sr 0.000 0.000 0.000
Zn 0.000 0.000 2.802
Zn 0.000 2.802 0.000
Zn 2.802 0.000 0.000
Ru 2.802 2.802 2.802
```

Most stable to least stable, the ends of the list are i and ii.

i.
A geometry-optimized SrZrRu structure, computed with PBE. Values from VASP.

Calculated values
space group = P-6m2
volume = 28.6 Å³ per atom
density of states at the Fermi level = 2.86 states/eV/f.u.

Geometry as Quantum ESPRESSO input:
```
&SYSTEM
  ibrav = 0, nat = 3, ntyp = 3
/
ATOMIC_SPECIES
Sr 87.62 Sr.upf
Zr 91.22 Zr.upf
Ru 101.07 Ru.upf
CELL_PARAMETERS angstrom
4.295 0.000 0.000
-2.148 3.720 0.000
0.000 0.000 5.375
ATOMIC_POSITIONS angstrom
Sr 0.000 0.000 0.000
Zr 2.148 1.240 2.687
Ru 0.000 2.480 2.687
```

ii.
A geometry-optimized SrZrRu structure, computed with PBE. Values from VASP.

Calculated values
space group = I4mm
volume = 25.6 Å³ per atom
density of states at the Fermi level = 1.14 states/eV/f.u.

Geometry as Quantum ESPRESSO input:
```
&SYSTEM
  ibrav = 0, nat = 3, ntyp = 3
/
ATOMIC_SPECIES
Sr 87.62 Sr.upf
Zr 91.22 Zr.upf
Ru 101.07 Ru.upf
CELL_PARAMETERS angstrom
-1.697 1.697 6.652
1.697 -1.697 6.652
1.697 1.697 -6.652
ATOMIC_POSITIONS angstrom
Sr 0.000 0.000 0.000
Zr 0.000 0.000 3.470
Ru 0.000 0.000 8.881
```

Most stable to least stable, the ends of the list are ii and i.